First-principles (PBE with a Hubbard U) data for AlCrF3 after structural relaxation, as listed in Alexandria.

Values from the calculation:
As for the total energy: -26.2 eV/f.u. The value obtained for the excess energy over the best structure of this formula in the dataset is 62 kJ/mol of formula units. The theoretical density comes out at 3.0 g cm⁻³.

Unit cell a=4.205 b=4.205 c=4.205 alpha=90.00 beta=90.00 gamma=90.00
Positions (direct):
Al1 0.000 0.000 0.000
Cr1 0.500 0.500 0.500
F1 0.000 0.500 0.500
F2 0.500 0.000 0.500
F3 0.500 0.500 0.000